No. 1
Material: K3Tm3PuSe8
Method: DFT, PBE
State: optimized geometry

Unit cell a=8.2738 b=8.2738 c=23.3808 alpha=90.00 beta=90.00 gamma=120.00
Space group R-3m (No. 166, hexagonal axes)
Unique sites:
K (0.0000, 0.5000, 0.0000)
Tm (0.0000, 0.5000, 0.5000)
Pu (0.0000, 0.0000, 0.5000)
Se (0.0000, 0.0000, 0.2339)
Se (0.9996, 0.4998, 0.2331)

Total moment ... 4.00 μB per formula unit
Formation energy from raw total energies ... -1.643 eV per atom

---

No. 2
Material: ScBe2As
Method: DFT, PBE
State: optimized geometry

Unit cell a=6.874 b=3.576 c=5.031 alpha=90.00 beta=110.56 gamma=90.00
Space group Cm (No. 8)
Unique sites:
Sc (0.000, 0.000, 0.000)
Be (0.055, 0.500, 0.617)
Be (0.257, 0.000, 0.658)
As (0.283, 0.500, 0.382)

Total moment ... 0.00 μB per formula unit
Calculated formation energy ... -1.1 eV per formula unit

---

No. 3
Material: NaPm2Mg
Method: DFT, PBE
State: optimized geometry

Unit cell a=7.907 b=7.907 c=7.907 alpha=90.00 beta=90.00 gamma=90.00
Space group Fm-3m (No. 225)
Unique sites:
Na (0.000, 0.000, 0.000)
Pm (0.250, 0.250, 0.250)
Mg (0.000, 0.000, 0.500)

Total moment ... 0.00 μB per formula unit
Calculated formation energy ... 0.6 eV per formula unit
Offset from the most stable computed form ... 1.09 kcal/mol of atoms

---

No. 4
Material: NbCoB2
Method: DFT, PBE
State: optimized geometry

Unit cell a=3.626 b=3.626 c=13.516 alpha=90.00 beta=90.00 gamma=90.00
Space group I4_1/amd (No. 141, origin choice 2)
Unique sites:
Nb (0.000, 0.250, 0.375)
Co (0.000, 0.250, 0.875)
B (0.000, 0.000, 0.000)

Total moment ... 0.00 μB per formula unit
Calculated formation energy ... 0.1 eV per formula unit
Offset from the most stable computed form ... 15.11 kcal/mol of atoms

---

No. 5
Material: LaMg2Ir
Method: DFT, PBE
State: optimized geometry

Unit cell a=4.156 b=4.156 c=21.901 alpha=90.00 beta=90.00 gamma=90.00
Space group I-42d (No. 122)
Unique sites:
La (0.000, 0.000, 0.000)
Mg (0.217, 0.250, 0.625)
Ir (0.000, 0.000, 0.500)

Total moment ... 0.00 μB per formula unit
Calculated formation energy ... -0.4 eV per formula unit

---

No. 6
Material: SrPrEuGd
Method: DFT, PBE
State: optimized geometry

Unit cell a=8.608 b=8.608 c=8.608 alpha=90.00 beta=90.00 gamma=90.00
Space group F-43m (No. 216)
Unique sites:
Sr (0.000, 0.000, 0.000)
Pr (0.000, 0.000, 0.500)
Eu (0.250, 0.250, 0.750)
Gd (0.250, 0.250, 0.250)

Total moment ... 14.64 μB per formula unit
Calculated formation energy ... 0.7 eV per formula unit

---

No. 7
Material: Er8P3HSe4
Method: DFT, PBE
State: optimized geometry

Unit cell a=7.8739 b=7.8739 c=19.7330 alpha=90.00 beta=90.00 gamma=120.00
Space group R-3m (No. 166, hexagonal axes)
Unique sites:
Er (0.0000, 0.0000, 0.2421)
Er (0.0032, 0.5016, 0.7564)
P (0.0000, 0.5000, 0.5000)
H (0.0000, 0.0000, 0.5000)
Se (0.0000, 0.0000, 0.0000)
Se (0.0000, 0.5000, 0.0000)

VASP energy ... -5.9055 eV/atom
Total moment ... 0.00 μB per formula unit

---

No. 8
Material: ZrSc2Cd
Method: DFT, PBE
State: optimized geometry

Unit cell a=3.2812 b=3.2812 c=30.4428 alpha=90.00 beta=90.00 gamma=120.00
Space group R3m (No. 160, hexagonal axes)
Unique sites:
Zr (0.0000, 0.0000, 0.0000)
Sc (0.0000, 0.0000, 0.5832)
Sc (0.0000, 0.0000, 0.7501)
Cd (0.0000, 0.0000, 0.1664)

Total moment ... 0.00 μB per formula unit
Calculated formation energy ... -0.3 eV per formula unit
Offset from the most stable computed form ... 2.21 kcal/mol of atoms

---

No. 9
Material: SrScPb
Method: DFT, PBE
State: optimized geometry

Unit cell a=5.0436 b=5.0436 c=4.5541 alpha=90.00 beta=90.00 gamma=120.00
Space group P-6m2 (No. 187)
Unique sites:
Sr (0.0000, 0.0000, 0.0000)
Sc (0.3333, 0.6667, 0.5000)
Pb (0.6667, 0.3333, 0.5000)

Total moment ... 0.67 μB per formula unit
Calculated formation energy ... -0.7 eV per formula unit

---

- What is the total moment in the sixth record?
  14.64 μB per formula unit

---

- total moment of number 5 (LaMg2Ir)?
  0.00 μB per formula unit